No. 1
Material: Mg30TiMnO32
Method: DFT, meta-GGA SCAN
State: single point on PBEsol structure

Values from the calculation:
As for the symmetry: No. 123. Its raw formation energy is -187.216 eV per formula unit.

Cell: 8.451 8.451 8.390 Å, 90.00 90.00 90.00°
Fractional positions:
Mg1 0.000 0.000 0.000
Mg2 0.000 0.000 0.500
Mg3 0.000 0.250 0.249
Mg4 0.000 0.250 0.751
Mg5 0.000 0.500 0.000
Mg6 0.000 0.500 0.500
Mg7 0.000 0.750 0.249
Mg8 0.000 0.750 0.751
Mg9 0.249 0.249 0.500
Mg10 0.249 0.751 0.500
Mg11 0.250 0.000 0.249
Mg12 0.250 0.000 0.751
Mg13 0.250 0.500 0.246
Mg14 0.250 0.500 0.754
Mg15 0.252 0.252 0.000
Mg16 0.252 0.748 0.000
Mg17 0.500 0.000 0.000
Mg18 0.500 0.000 0.500
Mg19 0.500 0.250 0.246
Mg20 0.500 0.250 0.754
Mg21 0.500 0.750 0.246
Mg22 0.500 0.750 0.754
Mg23 0.748 0.252 0.000
Mg24 0.748 0.748 0.000
Mg25 0.750 0.000 0.249
Mg26 0.750 0.000 0.751
Mg27 0.750 0.500 0.246
Mg28 0.750 0.500 0.754
Mg29 0.751 0.249 0.500
Mg30 0.751 0.751 0.500
Ti1 0.500 0.500 0.500
Mn1 0.500 0.500 0.000
O1 0.000 0.000 0.250
O2 0.000 0.000 0.750
O3 0.000 0.250 0.000
O4 0.000 0.250 0.500
O5 0.000 0.500 0.250
O6 0.000 0.500 0.750
O7 0.000 0.750 0.000
O8 0.000 0.750 0.500
O9 0.247 0.500 0.000
O10 0.247 0.500 0.500
O11 0.250 0.000 0.000
O12 0.250 0.000 0.500
O13 0.251 0.251 0.250
O14 0.251 0.251 0.750
O15 0.251 0.749 0.250
O16 0.251 0.749 0.750
O17 0.500 0.000 0.250
O18 0.500 0.000 0.750
O19 0.500 0.247 0.000
O20 0.500 0.247 0.500
O21 0.500 0.500 0.251
O22 0.500 0.500 0.749
O23 0.500 0.753 0.000
O24 0.500 0.753 0.500
O25 0.749 0.251 0.250
O26 0.749 0.251 0.750
O27 0.749 0.749 0.250
O28 0.749 0.749 0.750
O29 0.750 0.000 0.000
O30 0.750 0.000 0.500
O31 0.753 0.500 0.000
O32 0.753 0.500 0.500

=====

No. 2
Material: Mg30MnVO32
Method: DFT, meta-GGA SCAN
State: single point on PBEsol structure

Values from the calculation:
As for the symmetry: No. 123. Its raw formation energy is -187.377 eV per formula unit.

Cell: 8.426 8.426 8.427 Å, 90.00 90.00 90.00°
Fractional positions:
Mg1 0.000 0.000 0.000
Mg2 0.000 0.249 0.251
Mg3 0.000 0.249 0.749
Mg4 0.000 0.500 0.000
Mg5 0.000 0.500 0.500
Mg6 0.000 0.751 0.251
Mg7 0.000 0.751 0.749
Mg8 0.249 0.000 0.251
Mg9 0.249 0.000 0.749
Mg10 0.249 0.249 0.500
Mg11 0.249 0.751 0.500
Mg12 0.250 0.250 0.000
Mg13 0.250 0.500 0.250
Mg14 0.250 0.500 0.750
Mg15 0.250 0.750 0.000
Mg16 0.500 0.000 0.000
Mg17 0.500 0.000 0.500
Mg18 0.500 0.250 0.250
Mg19 0.500 0.250 0.750
Mg20 0.500 0.500 0.000
Mg21 0.500 0.750 0.250
Mg22 0.500 0.750 0.750
Mg23 0.750 0.250 0.000
Mg24 0.750 0.500 0.250
Mg25 0.750 0.500 0.750
Mg26 0.750 0.750 0.000
Mg27 0.751 0.000 0.251
Mg28 0.751 0.000 0.749
Mg29 0.751 0.249 0.500
Mg30 0.751 0.751 0.500
Mn1 0.000 0.000 0.500
V1 0.500 0.500 0.500
O1 0.000 0.000 0.252
O2 0.000 0.000 0.748
O3 0.000 0.248 0.500
O4 0.000 0.249 0.000
O5 0.000 0.500 0.251
O6 0.000 0.500 0.749
O7 0.000 0.751 0.000
O8 0.000 0.752 0.500
O9 0.246 0.500 0.500
O10 0.248 0.000 0.500
O11 0.249 0.000 0.000
O12 0.250 0.250 0.250
O13 0.250 0.250 0.750
O14 0.250 0.500 0.000
O15 0.250 0.750 0.250
O16 0.250 0.750 0.750
O17 0.500 0.000 0.251
O18 0.500 0.000 0.749
O19 0.500 0.246 0.500
O20 0.500 0.250 0.000
O21 0.500 0.500 0.247
O22 0.500 0.500 0.753
O23 0.500 0.750 0.000
O24 0.500 0.754 0.500
O25 0.750 0.250 0.250
O26 0.750 0.250 0.750
O27 0.750 0.500 0.000
O28 0.750 0.750 0.250
O29 0.750 0.750 0.750
O30 0.751 0.000 0.000
O31 0.752 0.000 0.500
O32 0.754 0.500 0.500

=====

No. 3
Material: MgMn2Os
Method: DFT, meta-GGA SCAN
State: single point on PBEsol structure

Values from the calculation:
As for the symmetry: No. 123. The formation enthalpy at 0 K is 0.08 eV per atom.

Cell: 2.749 2.749 7.283 Å, 90.00 90.00 90.00°
Fractional positions:
Mg1 0.000 0.000 0.000
Mn1 0.500 0.500 0.277
Mn2 0.500 0.500 0.723
Os1 0.000 0.000 0.500

=====

No. 4
Material: MgMn2Os
Method: DFT, meta-GGA SCAN
State: single point on PBEsol structure

Values from the calculation:
As for the symmetry: No. 123. The formation enthalpy at 0 K is -0.02 eV per atom.

Cell: 4.385 4.385 2.872 Å, 90.00 90.00 90.00°
Fractional positions:
Mg1 0.000 0.000 0.000
Mn1 0.000 0.500 0.500
Mn2 0.500 0.000 0.500
Os1 0.500 0.500 0.000

=====

No. 5
Material: MgMnOs3
Method: DFT, meta-GGA SCAN
State: single point on PBEsol structure

Values from the calculation:
As for the symmetry: No. 221. The formation enthalpy at 0 K is 1.37 eV per atom.

Cell: 4.401 4.401 4.401 Å, 90.00 90.00 90.00°
Fractional positions:
Mg1 0.000 0.000 0.000
Mn1 0.500 0.500 0.500
Os1 0.000 0.500 0.500
Os2 0.500 0.000 0.500
Os3 0.500 0.500 0.000

=====

No. 6
Material: Mg2MnPb
Method: DFT, meta-GGA SCAN
State: single point on PBEsol structure

Values from the calculation:
As for the symmetry: No. 25. The formation enthalpy at 0 K is -0.03 eV per atom.

Cell: 3.267 4.061 6.203 Å, 90.00 90.00 90.00°
Fractional positions:
Mg1 0.000 0.000 0.000
Mg2 0.500 0.500 0.255
Mn1 0.000 0.000 0.480
Pb1 0.500 0.500 0.722

=====

No. 7
Material: MgMnPb
Method: DFT, meta-GGA SCAN
State: single point on PBEsol structure

Values from the calculation:
As for the symmetry: No. 216. The formation enthalpy at 0 K is -0.02 eV per atom.

Cell: 4.571 4.571 4.571 Å, 60.00 60.00 60.00°
Fractional positions:
Mg1 0.000 0.000 0.000
Mn1 0.250 0.250 0.250
Pb1 0.500 0.500 0.500

=====

No. 8
Material: MgMnPb2S
Method: DFT, meta-GGA SCAN
State: single point on PBEsol structure

Values from the calculation:
As for the symmetry: No. 123. Its raw formation energy is 0.903 eV per formula unit.

Cell: 5.535 5.535 4.586 Å, 90.00 90.00 90.00°
Fractional positions:
Mg1 0.000 0.000 0.000
Mn1 0.500 0.500 0.000
Pb1 0.000 0.500 0.500
Pb2 0.500 0.000 0.500
S1 0.000 0.000 0.500

=====

No. 9
Material: Mg2ScMnPb
Method: DFT, meta-GGA SCAN
State: single point on PBEsol structure

Values from the calculation:
As for the symmetry: No. 123. The formation enthalpy at 0 K is 0.30 eV per atom.

Cell: 5.040 5.040 4.586 Å, 90.00 90.00 90.00°
Fractional positions:
Mg1 0.000 0.500 0.000
Mg2 0.500 0.000 0.000
Sc1 0.000 0.000 0.500
Mn1 0.000 0.000 0.000
Pb1 0.500 0.500 0.500

=====

No. 10
Material: MgMnPd3
Method: DFT, meta-GGA SCAN
State: single point on PBEsol structure

Values from the calculation:
As for the symmetry: No. 221. The formation enthalpy at 0 K is 0.28 eV per atom.

Cell: 4.590 4.590 4.590 Å, 90.00 90.00 90.00°
Fractional positions:
Mg1 0.000 0.000 0.000
Mn1 0.500 0.500 0.500
Pd1 0.000 0.500 0.500
Pd2 0.500 0.000 0.500
Pd3 0.500 0.500 0.000

=====

No. 11
Material: Mg3MnPt
Method: DFT, meta-GGA SCAN
State: single point on PBEsol structure

Values from the calculation:
As for the symmetry: No. 221. The formation enthalpy at 0 K is -0.12 eV per atom.

Cell: 4.929 4.929 4.929 Å, 90.00 90.00 90.00°
Fractional positions:
Mg1 0.000 0.000 0.500
Mg2 0.000 0.500 0.000
Mg3 0.500 0.000 0.000
Mn1 0.500 0.500 0.500
Pt1 0.000 0.000 0.000

=====

No. 12
Material: MgMnPt2
Method: DFT, meta-GGA SCAN
State: single point on PBEsol structure

Values from the calculation:
As for the symmetry: No. 99. The formation enthalpy at 0 K is -0.49 eV per atom.

Cell: 2.807 2.807 7.851 Å, 90.00 90.00 90.00°
Fractional positions:
Mg1 0.000 0.000 0.000
Mn1 0.500 0.500 0.288
Pt1 0.000 0.000 0.507
Pt2 0.500 0.500 0.767